## a
The following is a DFT calculation (GGA-PBE) of Sm6TmCd after structural relaxation.

Values from the calculation:
Space group: P4/mmm, No. 123
Size of the total moment, Bohr magnetons per cell: 0.00

abc: 4.9726 4.9726 10.1573
angles: 90.00 90.00 90.00
Sites, in units of the cell vectors:
Sm1 0.0000 0.5000 0.2456
Sm2 0.5000 0.5000 0.5000
Sm3 0.5000 0.0000 0.2456
Sm4 0.0000 0.5000 0.7544
Sm5 0.5000 0.0000 0.7544
Sm6 0.5000 0.5000 0.0000
Cd1 0.0000 0.0000 0.0000
Tm1 0.0000 0.0000 0.5000

## b
The following is a DFT calculation (GGA-PBE) of Sm6TmCd after structural relaxation.

Values from the calculation:
Space group: R-3, No. 148
Size of the total moment, Bohr magnetons per cell: 0.00

abc: 9.4185 8.6468 6.3929
angles: 47.42 42.57 57.05
Sites, in units of the cell vectors:
Sm1 0.9558 0.5471 0.2561
Sm2 0.5476 0.2410 0.1676
Sm3 0.7588 0.9562 0.7376
Sm4 0.0442 0.4529 0.7439
Sm5 0.4524 0.7590 0.8324
Sm6 0.2412 0.0438 0.2624
Cd1 0.0000 0.0000 0.0000
Tm1 0.5000 0.5000 0.5000

Most favorable structure: a. The second most favorable one is 77 meV/atom above it.

## a
The following is a DFT calculation (GGA-PBE) of Sm3Tm2Cd after structural relaxation.

Values from the calculation:
Space group: Cmmm, No. 65
Size of the total moment, Bohr magnetons per cell: 0.00

abc: 9.6932 7.9404 7.9404
angles: 143.70 90.00 90.00
Sites, in units of the cell vectors:
Tm1 0.7197 0.6645 0.3357
Tm2 0.7197 0.3357 0.6645
Tm3 0.2197 0.3355 0.6643
Tm4 0.2197 0.6643 0.3355
Sm1 0.4697 0.8301 0.1698
Sm2 0.4696 0.4999 0.4999
Sm3 0.4697 0.1698 0.8301
Sm4 0.9697 0.8302 0.1699
Sm5 0.9696 0.5001 0.5001
Sm6 0.9697 0.1699 0.8302
Cd1 0.7196 0.0002 0.0002
Cd2 0.2196 0.9998 0.9998

## b
The following is a DFT calculation (GGA-PBE) of Sm3Tm2Cd after structural relaxation.

Values from the calculation:
Space group: P4/mmm, No. 123
Size of the total moment, Bohr magnetons per cell: 0.00

abc: 3.6021 3.6021 14.1498
angles: 90.00 90.00 90.00
Sites, in units of the cell vectors:
Sm1 0.0000 0.0000 0.6500
Sm2 0.0000 0.0000 0.0000
Sm3 0.0000 0.0000 0.3500
Cd1 0.5000 0.5000 0.5000
Tm1 0.5000 0.5000 0.8256
Tm2 0.5000 0.5000 0.1744

Most favorable structure: b. The second most favorable one is 27 meV/atom above it.

## a
The following is a DFT calculation (GGA-PBE) of SmTmZnCd after structural relaxation.

Values from the calculation:
Space group: F-43m, No. 216
Size of the total moment, Bohr magnetons per cell: 0.00

abc: 5.2042 5.2042 5.2042
angles: 60.00 60.00 60.00
Sites, in units of the cell vectors:
Tm1 0.5000 0.5000 0.5000
Sm1 0.0000 0.0000 0.0000
Cd1 0.7500 0.7500 0.7500
Zn1 0.2500 0.2500 0.2500

## b
The following is a DFT calculation (GGA-PBE) of SmTmZnCd after structural relaxation.

Values from the calculation:
Space group: P4mm, No. 99
Size of the total moment, Bohr magnetons per cell: 0.00

abc: 3.5924 3.5924 7.6391
angles: 90.00 90.00 90.00
Sites, in units of the cell vectors:
Tm1 0.5000 0.5000 0.5864
Zn1 0.0000 0.0000 0.3733
Sm1 0.5000 0.5000 0.1263
Cd1 0.0000 0.0000 0.8420

Most favorable structure: b. The second most favorable one is 25 meV/atom above it.

## a
The following is a DFT calculation (GGA-PBE) of SmYCd after structural relaxation.

Values from the calculation:
Space group: I-4m2, No. 119
Size of the total moment, Bohr magnetons per cell: 0.01

abc: 5.2006 5.2006 5.2007
angles: 90.13 119.93 119.92
Sites, in units of the cell vectors:
Cd1 0.4444 0.2222 0.6666
Sm1 0.9444 0.4722 0.4167
Y1 0.9444 0.9722 0.9166

## b
The following is a DFT calculation (GGA-PBE) of SmYCd after structural relaxation.

Values from the calculation:
Space group: P3m1, No. 156
Size of the total moment, Bohr magnetons per cell: 0.00

abc: 3.6324 5.2892 5.2892
angles: 120.00 90.00 90.00
Sites, in units of the cell vectors:
Sm1 0.9556 0.0000 0.0000
Cd1 0.6484 0.6667 0.3333
Y1 0.3960 0.3333 0.6667

Most favorable structure: b. The second most favorable one is 163 meV/atom above it.

## a
The following is a DFT calculation (GGA-PBE) of SmYCd after structural relaxation.

Values from the calculation:
Space group: Amm2, No. 38
Size of the total moment, Bohr magnetons per cell: 0.47

abc: 3.5541 3.5111 14.3538
angles: 97.06 89.99 90.00
Sites, in units of the cell vectors:
Y1 0.0605 0.8274 0.6547
Y2 0.5606 0.4162 0.8325
Cd1 0.0603 0.9897 0.9795
Cd2 0.0589 0.1432 0.2865
Sm1 0.5595 0.5670 0.1340
Sm2 0.5589 0.7187 0.4375

## b
The following is a DFT calculation (GGA-PBE) of SmYCd after structural relaxation.

Values from the calculation:
Space group: Pnma, No. 62
Size of the total moment, Bohr magnetons per cell: 0.04

abc: 5.1848 7.4092 10.3589
angles: 90.00 90.00 90.00
Sites, in units of the cell vectors:
Cd1 0.2500 0.2549 0.6254
Cd2 0.2500 0.2451 0.1254
Cd3 0.7500 0.7451 0.3746
Cd4 0.7500 0.7549 0.8746
Y1 0.2500 0.0036 0.8752
Y2 0.7500 0.9964 0.1248
Y3 0.7500 0.5036 0.6248
Y4 0.2500 0.4964 0.3752
Sm1 0.2500 0.9961 0.3749
Sm2 0.2500 0.5039 0.8749
Sm3 0.7500 0.4961 0.1251
Sm4 0.7500 0.0039 0.6251

## c
The following is a DFT calculation (GGA-PBE) of SmYCd after structural relaxation.

Values from the calculation:
Space group: I4mm, No. 107
Size of the total moment, Bohr magnetons per cell: 0.70

abc: 3.6654 3.6654 7.0286
angles: 105.11 105.11 90.00
Sites, in units of the cell vectors:
Sm1 0.3235 0.3235 0.6471
Cd1 0.6634 0.6634 0.3268
Y1 0.0131 0.0131 0.0261

Most favorable structure: c. The second most favorable one is 86 meV/atom above it.

## a
The following is a DFT calculation (GGA-PBE) of Sm2Y8Cd after structural relaxation.

Values from the calculation:
Space group: C2/m, No. 12
Size of the total moment, Bohr magnetons per cell: 0.00

abc: 5.5909 6.4802 10.1322
angles: 94.73 106.02 90.00
Sites, in units of the cell vectors:
Y1 0.0440 0.2622 0.0879
Y2 0.9560 0.7378 0.9121
Y3 0.4224 0.3988 0.8447
Y4 0.6594 0.1251 0.3188
Y5 0.5776 0.6012 0.1553
Y6 0.1537 0.8071 0.3074
Y7 0.8463 0.1929 0.6926
Y8 0.3406 0.8749 0.6812
Cd1 0.5000 0.0000 0.0000
Sm1 0.7570 0.6659 0.5139
Sm2 0.2430 0.3341 0.4861

## b
The following is a DFT calculation (GGA-PBE) of Sm2Y8Cd after structural relaxation.

Values from the calculation:
Space group: C2/m, No. 12
Size of the total moment, Bohr magnetons per cell: 0.00

abc: 5.7597 9.8543 9.8543
angles: 40.68 91.84 91.84
Sites, in units of the cell vectors:
Y1 0.2341 0.1725 0.1725
Y2 0.7661 0.4496 0.4496
Y3 0.2552 0.6155 0.1371
Y4 0.7448 0.8629 0.3845
Y5 0.7448 0.3845 0.8629
Y6 0.7659 0.8275 0.8275
Y7 0.2339 0.5504 0.5504
Y8 0.2552 0.1371 0.6155
Sm1 0.7419 0.2799 0.2799
Sm2 0.2581 0.7201 0.7201
Cd1 0.0000 0.0000 0.0000

Most favorable structure: a. The second most favorable one is 118 meV/atom above it.